First-principles (GGA-PBE) data for a geometry-optimized AgMoCl2 structure, as listed in the Alexandria database.

a = 6.0684 Å, b = 6.0684 Å, c = 6.8636 Å
α = 63.76°, β = 63.76°, γ = 90.00°
With the nearest neighbours (Å) after each atom.
Fractional positions:
Ag 0.0000 0.0000 0.0000  4 Cl 2.74
Ag 0.7500 0.2500 0.5000  4 Cl 2.74
Cl 0.5716 0.1250 0.2500  2 Mo 2.35
Cl 0.8750 0.8216 0.7500  2 Mo 2.35
Cl 0.1784 0.6250 0.2500  2 Mo 2.35
Cl 0.3750 0.4284 0.7500  2 Mo 2.35
Mo 0.5000 0.5000 0.0000  4 Cl 2.35
Mo 0.2500 0.7500 0.5000  4 Cl 2.35

Values from the calculation:
Crystal system: tetragonal
Calculated volume: 24.66 Å³ per atom
E above lowest polymorph: 2.78 eV/f.u.
Raw total energy: -30.44 eV per cell
Formation energy without anion corrections: 0.54 eV per atom